Record 1
Here is crystalline Na3Sn11 at its relaxed geometry from the Alexandria database. Energies are from GGA-PBE.

Structure (extended XYZ):
```
14
Lattice="5.003 0.000 1.326 2.115 8.780 2.123 0.228 -0.729 9.245" Properties=species:S:1:pos:R:3 pbc="T T T"
Sn 6.201 7.328 6.909
Sn 5.362 3.100 10.076
Sn 3.966 5.504 5.239
Sn 1.171 4.025 5.684
Sn 1.984 4.951 2.618
Sn 1.145 0.722 5.785
Sn 1.904 -0.168 2.920
Sn 2.394 2.303 1.069
Sn 4.952 5.748 11.624
Sn 5.442 8.218 9.774
Sn 3.380 2.547 7.454
Na 3.088 5.794 8.553
Na 0.000 0.000 0.000
Na 4.258 2.257 4.140
```

total magnetic moment	0.0	μB per formula unit
space group	Immm, No. 71
calculated volume	409.2	Å³ per cell
ΔE_f	-0.06	eV/atom



Record 2
Here is crystalline Ba6Na5Pd at its relaxed geometry from the Alexandria database. Energies are from GGA-PBE.

Structure (extended XYZ):
```
12
Lattice="-1.637 -4.203 4.525 4.477 -7.994 -5.819 5.573 7.336 4.328" Properties=species:S:1:pos:R:3 pbc="T T T"
Ba 3.000 -1.183 -0.013
Ba 2.681 1.198 6.600
Ba 5.732 -6.059 -3.567
Ba 2.865 -8.676 -2.526
Ba 5.413 -3.678 3.046
Ba -0.025 -3.521 1.231
Na 2.239 -3.997 -2.910
Na 2.333 -1.543 3.921
Na 5.187 0.918 2.730
Na 3.226 -5.779 0.303
Na 6.080 -3.317 -0.888
Pd 0.000 0.000 0.000
```

total magnetic moment	0.0	μB per formula unit
space group	Immm, No. 71
calculated volume	554.7	Å³ per cell
ΔE_f	-0.07	eV/atom



| no. | E_tot (eV for the cell shown) |
| --- | --- |
| 1 | -48.8 |
| 2 | -24.1 |